Entry from Alexandria via LeMat-Bulk: an optimized crystal structure of MgTiMo (PBE).

Symmetry: No. 6
Energy relative to the elements, meV per atom: 78

Structure (POSCAR):
```
MgTiMo
1.0
2.9198 0.0000 0.0000
0.0000 4.3493 0.0000
-1.2736 0.0000 8.5071
Mg Ti Mo
2 2 2
direct
0.0000 0.0000 0.0000 Mg
0.3849 0.5000 0.8107 Mg
0.6244 0.5000 0.1885 Ti
0.7576 0.0000 0.6219 Ti
0.0678 0.5000 0.4740 Mo
0.3130 0.0000 0.3364 Mo
```